1.
A geometry-optimized CrRe13B6 structure. Source: Alexandria via LeMat-Bulk, functional GGA-PBEsol.

Results
Calculated volume   11.71 A^3/atom
Formation enthalpy at 0 K   -0.267 eV per atom
Energy   -231.0 eV/cell
M_tot   0.00 μB/f.u.

```
20
Lattice="-0.471 4.701 1.252 -2.118 -2.032 6.836 7.204 1.117 -1.484" Properties=species:S:1:pos:R:3 pbc="T T T"
Re 3.590 -0.721 4.947
Re 4.110 3.230 3.737
Re 2.222 3.570 1.750
Re -0.419 1.198 5.773
Re 0.334 -0.135 1.519
Re 0.946 -0.555 4.176
Re 4.896 3.984 1.199
Re 0.365 1.950 3.242
Re 5.486 1.269 2.077
Re 2.835 0.858 2.623
Re -1.023 -1.436 5.897
Re 3.615 1.606 0.108
Re 2.248 1.611 5.224
B 5.735 2.309 0.116
B 1.558 1.661 0.977
B -1.163 2.932 4.560
B 4.506 1.131 4.080
B 1.926 3.411 3.923
B 1.018 2.540 6.855
Cr -0.280 2.793 0.743
```


2.
A geometry-optimized ScTaI2 structure. Source: Alexandria via LeMat-Bulk, functional GGA-PBEsol.

Results
Calculated volume   26.25 A^3/atom
Energy   -42.0 eV/cell
Raw formation energy   0.417 eV per atom
M_tot   0.84 μB/f.u.

```
8
Lattice="-4.596 -1.406 -0.481 0.800 -3.660 3.050 -0.435 7.790 5.637" Properties=species:S:1:pos:R:3 pbc="T T T"
I -1.087 -1.768 3.902
I -0.808 5.245 4.519
I -2.691 2.641 5.863
I -3.875 -0.669 2.127
Sc -1.898 -2.533 1.284
Sc -3.465 1.926 3.220
Ta 0.000 0.000 0.000
Ta -0.766 0.799 4.986
```


3.
A geometry-optimized Co2Cu2Sn structure. Source: Alexandria via LeMat-Bulk, functional GGA-PBEsol.

Results
Calculated volume   13.97 A^3/atom
Formation enthalpy at 0 K   0.393 eV per atom
Energy   -26.4 eV/cell
M_tot   3.28 μB/f.u.

```
5
Lattice="3.418 0.000 0.000 0.000 3.418 0.000 -1.709 -1.709 5.979" Properties=species:S:1:pos:R:3 pbc="T T T"
Co 0.000 1.709 2.989
Co 1.709 0.000 2.989
Cu 0.000 0.000 4.735
Cu 1.709 1.709 1.244
Sn 0.000 0.000 0.000
```


4.
A geometry-optimized Ir2OsRu structure. Source: Alexandria via LeMat-Bulk, functional GGA-PBEsol.

Results
Calculated volume   13.84 A^3/atom
Formation enthalpy at 0 K   0.022 eV per atom
Energy   -41.9 eV/cell
M_tot   0.00 μB/f.u.
E above lowest polymorph   17.7 meV per atom

```
4
Lattice="2.693 0.000 0.000 1.347 2.332 0.000 1.347 0.777 8.815" Properties=species:S:1:pos:R:3 pbc="T T T"
Ru 2.693 1.555 4.407
Ir 1.347 0.777 2.211
Ir 4.040 2.332 6.604
Os 0.000 0.000 0.000
```


5.
A geometry-optimized LiAsAu structure. Source: Alexandria via LeMat-Bulk, functional GGA-PBEsol.

Results
Calculated volume   16.97 A^3/atom
Formation enthalpy at 0 K   -0.399 eV per atom
Energy   -12.2 eV/cell
M_tot   0.00 μB/f.u.

```
3
Lattice="3.062 0.000 0.000 0.000 4.382 0.000 0.000 -2.191 3.795" Properties=species:S:1:pos:R:3 pbc="T T T"
Au 0.000 0.000 2.530
As 0.000 0.000 0.000
Li 1.531 2.191 1.265
```


6.
A geometry-optimized AgAsBr2 structure. Source: Alexandria via LeMat-Bulk, functional GGA-PBEsol.

Results
Calculated volume   21.99 A^3/atom
Energy   -11.3 eV/cell
Raw formation energy   0.217 eV per atom
M_tot   0.00 μB/f.u.
E above lowest polymorph   78.0 meV per atom

```
4
Lattice="-2.349 2.122 1.433 -0.843 -0.352 3.352 5.067 5.955 3.701" Properties=species:S:1:pos:R:3 pbc="T T T"
As 0.000 0.000 0.000
Ag 0.937 3.862 4.243
Br 1.279 5.683 6.321
Br 0.595 2.042 2.165
```


7.
A geometry-optimized CaTcAs2 structure. Source: Alexandria via LeMat-Bulk, functional GGA-PBEsol.

Results
Calculated volume   16.81 A^3/atom
Formation enthalpy at 0 K   -0.320 eV per atom
Energy   -24.9 eV/cell
M_tot   0.00 μB/f.u.
E above lowest polymorph   126.5 meV per atom

```
4
Lattice="-4.365 -0.584 1.201 -2.193 -3.831 -1.161 -1.095 -3.062 3.203" Properties=species:S:1:pos:R:3 pbc="T T T"
Tc 0.000 0.000 0.000
As -5.740 -5.608 2.433
As -1.913 -1.869 0.811
Ca -3.827 -3.739 1.622
```


8.
A geometry-optimized ZnGa2SnI structure. Source: Alexandria via LeMat-Bulk, functional GGA-PBEsol.

Results
Calculated volume   38.92 A^3/atom
Energy   -9.7 eV/cell
Raw formation energy   0.916 eV per atom
M_tot   0.00 μB/f.u.

```
5
Lattice="5.779 0.000 0.000 0.000 5.779 0.000 0.000 0.000 5.826" Properties=species:S:1:pos:R:3 pbc="T T T"
Ga 2.890 0.000 0.000
Ga 0.000 2.890 0.000
Zn 2.890 2.890 2.913
I 0.000 0.000 0.000
Sn 0.000 0.000 2.913
```


9.
A geometry-optimized CdHg2 structure. Source: Alexandria via LeMat-Bulk, functional GGA-PBEsol.

Results
Calculated volume   25.66 A^3/atom
Formation enthalpy at 0 K   0.064 eV per atom
Energy   -2.1 eV/cell
M_tot   0.00 μB/f.u.
E above lowest polymorph   72.4 meV per atom

```
3
Lattice="-2.165 2.707 -0.149 -3.658 -2.889 0.677 0.404 0.580 4.657" Properties=species:S:1:pos:R:3 pbc="T T T"
Hg -2.912 -0.091 0.264
Hg -0.881 1.643 2.254
Cd 0.000 0.000 0.000
```


10.
A geometry-optimized Ho2Mg3Ge4 structure. Source: Alexandria via LeMat-Bulk, functional GGA-PBEsol.

Results
Calculated volume   20.13 A^3/atom
Formation enthalpy at 0 K   -0.566 eV per atom
Energy   -159.6 eV/cell
M_tot   0.00 μB/f.u.

```
36
Lattice="-6.043 -3.089 1.269 3.256 -6.687 -0.775 2.958 -0.151 13.721" Properties=species:S:1:pos:R:3 pbc="T T T"
Mg 0.476 -7.707 8.734
Mg -0.305 -2.220 5.481
Mg -3.244 -2.077 4.267
Mg 2.988 -5.115 8.221
Mg -2.817 -4.812 5.994
Mg -1.233 -6.056 10.970
Mg 3.414 -7.851 9.948
Mg -3.579 -4.773 2.460
Mg -1.067 -2.181 1.947
Mg 3.750 -5.154 11.755
Mg 1.238 -7.746 12.268
Mg 1.404 -3.871 3.245
Ge 2.744 -7.551 7.041
Ge -1.944 -6.732 3.935
Ge -2.573 -2.376 7.174
Ge -0.740 -9.041 10.831
Ge 2.115 -3.196 10.279
Ge -0.419 -6.283 13.847
Ge 4.003 -7.615 12.879
Ge 0.910 -0.887 3.384
Ge 1.849 -3.709 6.206
Ge 0.590 -3.644 0.367
Ge 1.812 -6.695 3.126
Ge -1.213 -4.276 3.805
Ge 1.384 -5.652 10.410
Ge -1.641 -3.233 11.089
Ge -1.678 -6.219 8.009
Ge -3.832 -2.312 1.336
Ho -0.496 -6.118 1.418
Ho 0.666 -3.809 12.797
Ho 0.416 -6.164 5.645
Ho 2.341 -1.324 8.039
Ho 3.253 -1.370 12.266
Ho -3.082 -8.557 1.948
Ho -0.245 -3.763 8.570
Ho -2.170 -8.603 6.176
```


11.
A geometry-optimized CrTcRh structure. Source: Alexandria via LeMat-Bulk, functional GGA-PBEsol.

Results
Calculated volume   13.00 A^3/atom
Formation enthalpy at 0 K   0.092 eV per atom
Energy   -29.4 eV/cell
M_tot   0.00 μB/f.u.

```
3
Lattice="-2.583 -0.414 -0.398 1.709 -0.286 -2.000 0.757 -6.201 1.533" Properties=species:S:1:pos:R:3 pbc="T T T"
Tc 0.523 -2.335 -0.970
Cr 0.755 -6.183 1.529
Rh -0.638 -4.583 0.110
```


12.
A geometry-optimized Sm12InCo6 structure. Source: Alexandria via LeMat-Bulk, functional GGA-PBEsol.

Results
Calculated volume   23.94 A^3/atom
Formation enthalpy at 0 K   -0.174 eV per atom
Energy   -113.8 eV/cell
M_tot   0.00 μB/f.u.

```
19
Lattice="-4.837 -6.838 0.513 2.498 1.070 -7.939 6.715 -0.948 4.942" Properties=species:S:1:pos:R:3 pbc="T T T"
Sm 3.521 -0.182 -4.845
Sm 0.153 -3.990 -5.748
Sm 3.306 -4.985 0.353
Sm 0.855 -6.533 2.360
Sm 3.165 -1.468 0.143
Sm 6.775 -1.420 -1.031
Sm 0.119 -3.483 0.223
Sm 4.257 -3.232 -2.708
Sm 4.223 -2.725 3.263
Sm -2.399 -5.295 -1.453
Sm 1.070 -1.730 -2.838
Sm 1.211 -5.247 -2.628
Co 5.335 -2.958 0.617
Co 0.032 -6.129 -0.153
Co 4.344 -0.585 -2.332
Co 1.972 -3.879 2.391
Co -0.959 -3.757 -3.101
Co 2.404 -2.836 -4.876
In 0.000 0.000 0.000
```


13.
A geometry-optimized MgMnOs structure. Source: Alexandria via LeMat-Bulk, functional GGA-PBEsol.

Results
Calculated volume   13.70 A^3/atom
Formation enthalpy at 0 K   0.190 eV per atom
Energy   -23.1 eV/cell
M_tot   0.22 μB/f.u.

```
3
Lattice="-1.279 2.516 -0.446 -0.520 0.232 2.800 5.307 0.976 -0.554" Properties=species:S:1:pos:R:3 pbc="T T T"
Os 2.782 1.484 0.393
Mn 0.692 2.223 1.402
Mg 0.034 0.018 0.005
```


14.
A geometry-optimized Mg3CrN3 structure. Source: Alexandria via LeMat-Bulk, functional GGA-PBEsol.

Results
Calculated volume   12.55 A^3/atom
Energy   -92.1 eV/cell
Raw formation energy   -0.723 eV per atom
M_tot   1.01 μB/f.u.

```
14
Lattice="4.370 0.000 0.000 0.000 6.813 0.000 0.000 -3.407 5.900" Properties=species:S:1:pos:R:3 pbc="T T T"
Mg 3.278 0.000 2.044
Mg 1.093 1.770 1.022
Mg 1.093 3.407 3.857
Mg 3.278 1.637 4.879
Mg 3.278 -1.637 4.879
Mg 1.093 5.043 1.022
N 3.278 3.407 3.731
N 3.278 1.879 1.085
N 1.093 1.528 4.816
N 3.278 4.934 1.085
N 1.093 -1.528 4.816
N 1.093 0.000 2.170
Cr 1.093 0.000 3.934
Cr 3.278 3.407 1.967
```


15.
A geometry-optimized CeCuSi2Ni structure. Source: Alexandria via LeMat-Bulk, functional GGA-PBEsol.

Results
Calculated volume   15.29 A^3/atom
Energy   -32.2 eV/cell
Raw formation energy   -0.726 eV per atom
M_tot   0.00 μB/f.u.

```
5
Lattice="-0.110 3.356 -2.165 -2.133 -1.880 -2.807 -2.927 0.555 4.696" Properties=species:S:1:pos:R:3 pbc="T T T"
Ni -3.091 -0.293 -0.298
Cu -2.079 2.325 0.023
Si -2.127 1.059 -1.936
Si -3.043 0.972 1.662
Ce 0.000 0.000 0.000
```


16.
A geometry-optimized Zr2N structure. Source: Alexandria via LeMat-Bulk, functional GGA-PBEsol.

Results
Calculated volume   15.74 A^3/atom
Energy   -61.8 eV/cell
Raw formation energy   -1.399 eV per atom
M_tot   0.00 μB/f.u.

```
6
Lattice="3.275 0.000 0.000 0.000 5.370 0.000 0.000 0.000 5.370" Properties=species:S:1:pos:R:3 pbc="T T T"
Zr 1.638 1.095 4.275
Zr 0.000 1.590 1.590
Zr 0.000 3.780 3.780
Zr 1.638 4.275 1.095
N 1.638 2.685 2.685
N 0.000 0.000 0.000
```


17.
A geometry-optimized Cd2InPb structure. Source: Alexandria via LeMat-Bulk, functional GGA-PBEsol.

Results
Calculated volume   25.19 A^3/atom
Formation enthalpy at 0 K   0.070 eV per atom
Energy   -9.1 eV/cell
M_tot   0.00 μB/f.u.
E above lowest polymorph   32.0 meV per atom

```
4
Lattice="-0.329 2.742 1.746 -5.054 -0.992 0.606 1.192 -3.039 4.972" Properties=species:S:1:pos:R:3 pbc="T T T"
Cd 0.139 0.596 2.134
Cd 0.725 -0.893 4.583
In -2.692 0.875 1.176
Pb -1.931 -2.015 2.789
```


18.
A geometry-optimized SrZn2As structure. Source: Alexandria via LeMat-Bulk, functional GGA-PBEsol.

Results
Calculated volume   21.61 A^3/atom
Formation enthalpy at 0 K   -0.134 eV per atom
Energy   -10.6 eV/cell
M_tot   0.00 μB/f.u.

```
4
Lattice="3.695 0.000 0.000 0.000 3.695 0.000 0.000 0.000 6.332" Properties=species:S:1:pos:R:3 pbc="T T T"
Zn 0.000 0.000 1.228
Zn 0.000 0.000 5.104
Sr 1.847 1.847 3.166
As 1.847 1.847 0.000
```


19.
A geometry-optimized SrZr2Fe structure. Source: Alexandria via LeMat-Bulk, functional GGA-PBEsol.

Results
Calculated volume   19.97 A^3/atom
Formation enthalpy at 0 K   0.706 eV per atom
Energy   -26.2 eV/cell
M_tot   0.11 μB/f.u.
E above lowest polymorph   374.3 meV per atom

```
4
Lattice="-2.866 2.627 2.873 -0.248 -0.990 4.725 1.938 3.048 3.213" Properties=species:S:1:pos:R:3 pbc="T T T"
Sr 0.000 0.000 0.000
Zr -0.882 3.514 8.109
Zr -0.294 1.171 2.703
Fe -0.588 2.343 5.406
```


20.
A geometry-optimized SnAuSN2 structure. Source: Alexandria via LeMat-Bulk, functional GGA-PBEsol.

Results
Calculated volume   16.53 A^3/atom
Energy   -22.9 eV/cell
Raw formation energy   1.350 eV per atom
M_tot   2.54 μB/f.u.

```
5
Lattice="-2.948 -0.675 -2.699 -2.109 -2.022 2.810 -2.251 4.278 1.389" Properties=species:S:1:pos:R:3 pbc="T T T"
S -1.125 2.139 0.694
Au 0.000 0.000 0.000
Sn -3.654 0.791 0.750
N -1.474 -0.338 -1.349
N -1.055 -1.011 1.405
```


21.
A geometry-optimized ZrAs2SeBr structure. Source: Alexandria via LeMat-Bulk, functional GGA-PBEsol.

Results
Calculated volume   27.20 A^3/atom
Energy   -24.7 eV/cell
Raw formation energy   0.067 eV per atom
M_tot   0.00 μB/f.u.

```
5
Lattice="-0.459 -3.266 -3.766 -2.089 -3.478 3.272 -4.751 1.871 -1.044" Properties=species:S:1:pos:R:3 pbc="T T T"
As -2.376 0.935 -0.522
As -1.044 -1.739 1.636
Se -0.229 -1.633 -1.883
Zr 0.000 0.000 0.000
Br -3.649 -2.437 -0.769
```


22.
A geometry-optimized Hf9W4S structure. Source: Alexandria via LeMat-Bulk, functional GGA-PBEsol.

Results
Calculated volume   19.31 A^3/atom
Energy   -316.7 eV/cell
Raw formation energy   -0.300 eV per atom
M_tot   0.00 μB/f.u.

```
28
Lattice="8.488 0.000 0.000 0.000 8.576 0.000 0.000 -4.288 7.427" Properties=species:S:1:pos:R:3 pbc="T T T"
W 4.244 0.000 0.000
W 2.122 4.288 5.781
W 2.122 7.151 0.823
W 6.366 -2.862 6.604
W 6.366 0.000 1.646
W 6.366 2.862 6.604
W 0.000 0.000 0.000
W 2.122 1.426 0.823
Hf 2.122 2.691 3.398
Hf 3.809 1.755 5.965
Hf 0.436 0.000 2.926
Hf 2.122 4.288 0.631
Hf 3.809 0.000 2.926
Hf 3.809 -1.755 5.965
Hf 6.366 0.000 6.796
Hf 2.122 5.886 3.398
Hf 4.680 6.043 1.463
Hf 0.436 1.755 5.965
Hf 6.366 -1.598 4.029
Hf 8.053 2.534 1.463
Hf 6.366 1.597 4.029
Hf 4.680 4.288 4.502
Hf 4.680 2.534 1.463
Hf 8.053 6.043 1.463
Hf 8.053 4.288 4.502
Hf 0.436 -1.755 5.965
S 6.366 4.288 2.476
S 2.122 0.000 4.952
```


23.
A geometry-optimized BaRuAu structure. Source: Alexandria via LeMat-Bulk, functional GGA-PBEsol.

Results
Calculated volume   23.58 A^3/atom
Formation enthalpy at 0 K   0.370 eV per atom
Energy   -15.1 eV/cell
M_tot   0.00 μB/f.u.

```
3
Lattice="-1.924 3.051 -0.132 -1.734 -0.963 3.015 5.611 1.470 1.536" Properties=species:S:1:pos:R:3 pbc="T T T"
Ru -0.958 1.623 2.127
Ba 2.540 1.688 2.000
Au 0.372 0.247 0.293
```


24.
A geometry-optimized Ir2RuW structure. Source: Alexandria via LeMat-Bulk, functional GGA-PBEsol.

Results
Calculated volume   14.17 A^3/atom
Formation enthalpy at 0 K   -0.263 eV per atom
Energy   -44.7 eV/cell
M_tot   0.00 μB/f.u.
E above lowest polymorph   12.2 meV per atom

```
4
Lattice="-0.756 -2.505 0.796 4.071 -1.410 -0.573 1.026 1.126 4.520" Properties=species:S:1:pos:R:3 pbc="T T T"
Ir 2.755 0.085 2.883
Ir 0.038 0.042 0.167
W 1.879 -1.715 1.086
Ru 0.182 -0.637 2.867
```